# 1
A geometry-optimized Pu7PCl12 structure. Source: Alexandria via LeMat-Bulk, functional PBE.

* formation energy (no corrections): -1.732 eV per atom

Cell and atoms, written as extended XYZ:
```
20
Lattice="7.262 4.192 3.326 -7.262 4.192 3.326 0.000 -8.385 3.326" Properties=species:S:1:pos:R:3 pbc="T T T"
Pu 0.000 0.000 0.000
Pu -1.602 -1.665 3.382
Pu -0.640 2.220 3.382
Pu 2.243 -0.555 3.382
Pu -2.243 0.555 6.595
Pu 0.640 -2.220 6.595
Pu 1.602 1.665 6.595
P 0.000 0.000 4.988
Cl -2.166 0.548 1.694
Cl 0.609 -2.150 1.694
Cl -3.864 -1.033 4.919
Cl -1.037 -3.863 5.057
Cl 1.558 1.602 1.694
Cl -2.827 2.829 5.057
Cl 2.827 -2.829 4.919
Cl -1.558 -1.602 8.283
Cl 1.037 3.863 4.919
Cl 3.864 1.033 5.057
Cl -0.609 2.150 8.283
Cl 2.166 -0.548 8.283
```

***

# 2
A geometry-optimized ZnMo3Ir structure. Source: Alexandria via LeMat-Bulk, functional PBE.

* ΔE_f: 1.589 eV/atom
* offset from the most stable computed form: 0 meV/atom

Cell and atoms, written as extended XYZ:
```
5
Lattice="4.749 0.000 0.000 0.000 4.749 0.000 0.000 0.000 4.749" Properties=species:S:1:pos:R:3 pbc="T T T"
Zn 0.000 0.000 0.000
Mo 0.000 2.375 2.375
Mo 2.375 0.000 2.375
Mo 2.375 2.375 0.000
Ir 2.375 2.375 2.375
```

***

# 3
A geometry-optimized Al2CrFeH structure. Source: Alexandria via LeMat-Bulk, functional PBE.

* offset from the most stable computed form: 0 meV/atom

Cell and atoms, written as extended XYZ:
```
5
Lattice="4.129 0.000 0.000 0.000 4.129 0.000 0.000 0.000 3.179" Properties=species:S:1:pos:R:3 pbc="T T T"
Al 0.000 2.064 0.000
Al 2.064 0.000 0.000
Cr 0.000 0.000 1.590
Fe 2.064 2.064 1.590
H 2.064 2.064 0.000
```

***

# 4
A geometry-optimized RbAg2HgRu structure. Source: Alexandria via LeMat-Bulk, functional PBE.

* ΔE_f: 0.575 eV/atom

Cell and atoms, written as extended XYZ:
```
5
Lattice="5.284 0.000 0.000 0.000 5.284 0.000 0.000 0.000 5.299" Properties=species:S:1:pos:R:3 pbc="T T T"
Rb 0.000 0.000 0.000
Ag 0.000 2.642 2.649
Ag 2.642 0.000 2.649
Hg 2.642 2.642 0.000
Ru 2.642 2.642 2.649
```

***

# 5
A geometry-optimized MgReN2 structure. Source: Alexandria via LeMat-Bulk, functional PBE.

* formation energy (no corrections): 0.138 eV per atom

Cell and atoms, written as extended XYZ:
```
4
Lattice="1.477 0.853 6.568 -1.477 0.853 6.568 0.000 -1.706 6.568" Properties=species:S:1:pos:R:3 pbc="T T T"
Mg 0.000 0.000 0.000
Re 0.000 0.000 9.852
N 0.000 0.000 2.078
N 0.000 0.000 17.626
```

***

# 6
A geometry-optimized ZrCoRe structure. Source: Alexandria via LeMat-Bulk, functional PBE.

* ΔE_f: -0.300 eV/atom
* offset from the most stable computed form: 5 meV/atom

Cell and atoms, written as extended XYZ:
```
6
Lattice="-2.527 2.560 3.658 2.527 -2.560 3.658 2.527 2.560 -3.658" Properties=species:S:1:pos:R:3 pbc="T T T"
Zr 0.000 1.280 0.906
Zr 2.527 1.280 2.752
Co 2.527 0.000 0.000
Co 0.000 0.000 3.658
Re 1.263 1.280 -1.829
Re 1.263 -1.280 1.829
```

***

# 7
A geometry-optimized Sr2Li12MgTl3 structure. Source: Alexandria via LeMat-Bulk, functional PBE.

* ΔE_f: 0.027 eV/atom

Cell and atoms, written as extended XYZ:
```
18
Lattice="3.478 2.008 11.214 -3.478 2.008 11.214 0.000 -4.017 11.214" Properties=species:S:1:pos:R:3 pbc="T T T"
Sr 0.000 0.000 5.005
Sr 0.000 0.000 28.637
Li 0.000 -2.429 9.596
Li -2.104 1.215 9.596
Li -1.519 -0.877 14.359
Li -2.104 -1.215 24.046
Li 0.000 -1.754 19.283
Li -1.519 0.877 19.283
Li 1.519 -0.877 14.359
Li 0.000 1.754 14.359
Li 2.104 1.215 9.596
Li 1.519 0.877 19.283
Li 2.104 -1.215 24.046
Li 0.000 2.429 24.046
Mg 0.000 0.000 16.821
Tl -1.739 -1.004 11.214
Tl -1.739 1.004 22.428
Tl 0.000 2.008 11.214
```

***

# 8
A geometry-optimized BaSmCu2Cl8 structure. Source: Alexandria via LeMat-Bulk, functional PBE.

* formation energy (no corrections): -1.552 eV per atom

Cell and atoms, written as extended XYZ:
```
12
Lattice="4.958 -3.760 0.000 4.958 3.760 0.000 -0.178 0.000 9.491" Properties=species:S:1:pos:R:3 pbc="T T T"
Ba 0.000 0.000 0.000
Sm -0.089 0.000 4.745
Cu 3.385 0.000 6.951
Cu 6.354 0.000 2.539
Cl 4.774 1.991 6.840
Cl 4.965 1.991 2.651
Cl 2.610 0.000 4.852
Cl 2.891 0.000 9.109
Cl 6.847 0.000 0.381
Cl 7.128 0.000 4.639
Cl 4.774 -1.991 6.840
Cl 4.965 -1.991 2.651
```